! Ca2SnPd3 PBE-GGA relaxed; values from VASP
&SYSTEM
  ibrav = 0, nat = 6, ntyp = 3
/
ATOMIC_SPECIES
Ca 40.08 Ca.upf
Pd 106.42 Pd.upf
Sn 118.71 Sn.upf
ATOMIC_POSITIONS angstrom
Ca -2.5220 1.6425 -0.1657
Ca -3.7891 -1.9963 0.5676
Pd 0.0000 0.0000 0.0000
Pd -2.9634 0.0185 2.3746
Pd -3.3476 -0.3724 -1.9727
Sn -1.2123 -2.0125 -1.4972
CELL_PARAMETERS angstrom
-2.1215 3.2667 -2.6731
-2.4246 -4.0249 -2.9944
-1.7649 0.4044 6.0694
! * ΔH_f (0 K): -0.5115 eV/atom

! TlHSe2 PBE-GGA relaxed; values from VASP
&SYSTEM
  ibrav = 0, nat = 4, ntyp = 3
/
ATOMIC_SPECIES
H 1.01 H.upf
Tl 204.38 Tl.upf
Se 78.96 Se.upf
ATOMIC_POSITIONS angstrom
H 0.0000 0.0000 0.0000
Tl 0.0000 0.0000 9.7879
Se 0.0000 0.0000 1.7643
Se 0.0000 0.0000 17.8114
CELL_PARAMETERS angstrom
2.4666 0.0000 6.5252
-1.2333 2.1361 6.5252
-1.2333 -2.1361 6.5252
! * E_tot: -12.615 eV per cell

! BaHgNF2 PBE-GGA relaxed; values from VASP
&SYSTEM
  ibrav = 0, nat = 5, ntyp = 4
/
ATOMIC_SPECIES
F 19.00 F.upf
Ba 137.33 Ba.upf
Hg 200.59 Hg.upf
N 14.01 N.upf
ATOMIC_POSITIONS angstrom
F 0.0000 2.4455 0.0000
F 2.4455 0.0000 0.0000
Ba 2.4455 2.4455 2.0399
Hg 0.0000 0.0000 0.0000
N 0.0000 0.0000 2.0399
CELL_PARAMETERS angstrom
4.8910 0.0000 0.0000
0.0000 4.8910 0.0000
0.0000 0.0000 4.0797
! * formation energy from raw total energies: -1192 meV per atom

! Hg2BiCl PBE-GGA relaxed; values from VASP
&SYSTEM
  ibrav = 0, nat = 8, ntyp = 3
/
ATOMIC_SPECIES
Cl 35.45 Cl.upf
Hg 200.59 Hg.upf
Bi 208.98 Bi.upf
ATOMIC_POSITIONS angstrom
Cl -1.9011 -5.7563 5.3777
Cl -2.5386 -1.2730 3.5956
Hg -2.3248 -6.3839 10.7934
Hg 0.3548 -4.9489 7.1579
Hg -0.3683 -0.5085 5.4970
Hg -1.9808 -4.1178 2.8838
Bi 0.0000 0.0000 0.0000
Bi -0.2584 -2.2232 7.7884
CELL_PARAMETERS angstrom
-0.8959 2.2601 6.0063
-4.1814 -4.8061 1.1848
2.9177 -5.4335 5.9749
! * formation energy from raw total energies: -138 meV per atom

! LuCo4Ge PBE-GGA relaxed; values from VASP
&SYSTEM
  ibrav = 0, nat = 6, ntyp = 3
/
ATOMIC_SPECIES
Lu 174.97 Lu.upf
Co 58.93 Co.upf
Ge 72.64 Ge.upf
ATOMIC_POSITIONS angstrom
Lu 0.0000 0.0000 0.0000
Co -2.6666 -2.6346 4.2095
Co -3.7125 -3.5948 2.2508
Co -1.5997 -4.4663 3.0438
Co -3.6216 -4.8548 4.3140
Ge -1.4500 -1.9438 1.7273
CELL_PARAMETERS angstrom
-4.0636 -0.7808 2.5527
-1.9194 -4.4621 0.2099
0.1827 -2.5323 4.1464
! * ΔH_f (0 K): -0.1460 eV/atom

! PaNi2AsN PBE-GGA relaxed; values from VASP
&SYSTEM
  ibrav = 0, nat = 10, ntyp = 4
/
ATOMIC_SPECIES
N 14.01 N.upf
Ni 58.69 Ni.upf
As 74.92 As.upf
Pa 231.04 Pa.upf
ATOMIC_POSITIONS angstrom
N 0.0000 0.0000 3.4109
N 0.0000 0.0000 0.0000
Ni 1.7567 3.7852 0.3946
Ni 1.7567 3.7852 3.0162
Ni 0.0000 1.9160 6.4271
Ni 0.0000 1.9160 3.8055
As 1.7567 2.7630 5.1163
As 0.0000 2.9383 1.7054
Pa 0.0000 5.3813 5.1163
Pa 1.7567 0.3200 1.7054
CELL_PARAMETERS angstrom
3.5135 0.0000 0.0000
-1.7567 5.7012 0.0000
0.0000 0.0000 6.8218
! * formation energy from raw total energies: -852 meV per atom

! TlPdICl6 PBE-GGA relaxed; values from VASP
&SYSTEM
  ibrav = 0, nat = 9, ntyp = 4
/
ATOMIC_SPECIES
Pd 106.42 Pd.upf
Cl 35.45 Cl.upf
I 126.90 I.upf
Tl 204.38 Tl.upf
ATOMIC_POSITIONS angstrom
Pd 5.9879 1.6704 2.7186
Cl 12.8089 1.8446 1.5416
Cl 10.1515 1.5497 4.1010
Cl 4.6581 3.2356 3.7696
Cl 4.8166 -0.0481 3.8096
Cl 7.2398 0.0764 1.5377
Cl 7.1823 3.3382 1.6853
I 11.3326 3.3034 2.8696
Tl 15.9961 4.3794 1.3742
CELL_PARAMETERS angstrom
11.3068 -0.4324 0.2863
5.2015 5.3506 0.1922
0.7091 0.0273 5.3018
! * formation energy from raw total energies: -462 meV per atom

! SmGd2Tc PBE-GGA relaxed; values from VASP
&SYSTEM
  ibrav = 0, nat = 4, ntyp = 3
/
ATOMIC_SPECIES
Sm 150.36 Sm.upf
Gd 157.25 Gd.upf
Tc 98.00 Tc.upf
ATOMIC_POSITIONS angstrom
Sm 4.8435 2.7964 2.5547
Gd 7.2653 4.1946 4.1583
Gd 2.4218 1.3982 0.9511
Tc 0.0000 0.0000 0.0000
CELL_PARAMETERS angstrom
4.8435 0.0000 0.0000
2.4218 4.1946 0.0000
2.4218 1.3982 5.1094
! * ΔH_f (0 K): 0.2098 eV/atom

! BaPPdO6 PBE-GGA relaxed; values from VASP
&SYSTEM
  ibrav = 0, nat = 9, ntyp = 4
/
ATOMIC_SPECIES
P 30.97 P.upf
O 16.00 O.upf
Pd 106.42 Pd.upf
Ba 137.33 Ba.upf
ATOMIC_POSITIONS angstrom
P 0.0906 -3.4859 -2.1518
O -0.4775 -4.8005 -3.0995
O -0.5580 -4.2556 -0.7604
O 0.8531 -2.1849 -1.3302
O 0.5331 -2.7567 -3.6422
O -1.3623 -2.5708 -2.1771
O 1.5550 -4.3469 -1.9009
Pd -0.0544 -4.1616 -4.9661
Ba -2.2444 -6.8039 -2.7268
CELL_PARAMETERS angstrom
-2.7154 -1.1834 -4.0522
2.2806 -0.8437 -4.3910
0.4708 -5.6205 1.3252
! * formation energy from raw total energies: -1576 meV per atom

! Y3Ho2Tl4 PBE-GGA relaxed; values from VASP
&SYSTEM
  ibrav = 0, nat = 18, ntyp = 3
/
ATOMIC_SPECIES
Tl 204.38 Tl.upf
Y 88.91 Y.upf
Ho 164.93 Ho.upf
ATOMIC_POSITIONS angstrom
Tl 3.5975 0.3085 4.7736
Tl 1.7987 2.3825 0.1717
Tl 1.7987 7.1475 7.6540
Tl 0.0000 9.2215 3.0521
Tl 0.0000 4.4565 4.7736
Tl 5.3962 2.3825 0.1717
Tl -1.7987 7.1475 7.6540
Tl 3.5975 5.0735 3.0521
Y -1.7987 7.1475 4.5285
Y 0.0000 0.0000 0.0000
Y 1.7987 2.3825 3.2971
Y 1.7987 7.1475 4.5285
Y 5.3962 2.3825 3.2971
Y 3.5975 4.7650 0.0000
Ho 3.5975 8.9712 1.6959
Ho 0.0000 5.3238 1.6959
Ho 3.5975 4.2062 6.1298
Ho 0.0000 0.5588 6.1298
CELL_PARAMETERS angstrom
7.1950 0.0000 0.0000
0.0000 9.5300 0.0000
-3.5975 0.0000 7.8257
! * ΔH_f (0 K): -0.1996 eV/atom

! Sr3Ca12In PBE-GGA relaxed; values from VASP
&SYSTEM
  ibrav = 0, nat = 16, ntyp = 3
/
ATOMIC_SPECIES
Ca 40.08 Ca.upf
Sr 87.62 Sr.upf
In 114.82 In.upf
ATOMIC_POSITIONS angstrom
Ca -2.8792 -1.3708 1.5241
Ca -8.6384 5.9234 16.4578
Ca -9.6912 3.5561 13.4630
Ca -4.4440 3.6347 6.0795
Ca -7.5759 2.4018 8.2289
Ca -9.1716 2.0628 17.0937
Ca -6.5403 4.7786 11.2666
Ca -3.6342 0.2509 -1.5241
Ca -4.9772 -0.2260 6.7153
Ca -7.0736 0.9180 11.9025
Ca -2.3459 2.4898 0.8882
Ca -5.4605 1.2475 2.9948
Sr -3.9417 2.1509 9.7530
Sr -6.0276 3.2891 14.9144
Sr -1.8557 1.0126 4.5916
In 0.0000 0.0000 0.0000
CELL_PARAMETERS angstrom
-3.1010 4.1116 -2.1600
-4.1675 -3.6097 -0.8882
-7.8833 4.3017 19.5060
! * ΔH_f (0 K): -0.0423 eV/atom

! Nd12Ni3H5 PBE-GGA relaxed; values from VASP
&SYSTEM
  ibrav = 0, nat = 80, ntyp = 3
/
ATOMIC_SPECIES
Ni 58.69 Ni.upf
Nd 144.24 Nd.upf
H 1.01 H.upf
ATOMIC_POSITIONS angstrom
Ni 2.0606 -2.4705 2.8987
Ni -0.5413 -10.3907 -0.7082
Ni 4.9142 -5.9671 4.3591
Ni 8.7534 -5.3892 -1.7590
Ni 5.9058 -0.1715 8.5938
Ni 4.9082 -7.6882 -7.4541
Ni 5.8998 -1.8926 -3.2194
Ni 8.7777 -1.2125 0.4897
Ni 9.1021 -0.0992 5.0894
Ni 2.0364 -6.6472 0.6500
Ni 11.3553 2.5309 1.8478
Ni 1.7119 -7.7606 -3.9497
Nd 7.6811 -4.8863 4.5140
Nd 6.2204 -6.2136 -9.7907
Nd 8.8985 2.8636 -6.2427
Nd 2.4651 -0.3381 0.8648
Nd 1.7548 -10.4720 -2.7273
Nd 9.9230 -2.1987 3.1489
Nd 2.5120 -7.5198 3.5427
Nd 11.5938 -0.2651 0.6309
Nd 4.5937 -1.6461 10.9303
Nd 7.1322 -0.2008 2.7517
Nd 8.3489 -7.5217 0.2749
Nd -1.0795 -8.5083 -2.9475
Nd 8.3020 -0.3399 -2.4031
Nd 6.5580 -1.5177 6.0228
Nd 7.1833 -7.7172 -2.9719
Nd 3.3424 -9.5875 -5.6384
Nd 6.9404 -8.1611 3.6984
Nd 9.0592 2.6122 3.8670
Nd 7.4716 1.7278 6.7781
Nd 5.8926 -1.4555 -0.1921
Nd 1.9456 -9.7022 0.7714
Nd 11.8936 0.6485 4.0872
Nd 3.8736 0.3014 -2.5587
Nd 8.3484 -3.5294 -4.0448
Nd 8.8684 1.8425 0.3682
Nd 5.0045 -3.2783 3.0902
Nd 4.2560 -6.3420 -4.8831
Nd 2.7968 -3.7059 0.2949
Nd 6.3548 0.3243 -5.1497
Nd 3.6307 -0.1425 4.1115
Nd 0.8910 -5.6610 -2.0092
Nd 5.4848 -2.8869 -6.0821
Nd 3.6818 -7.6589 -1.6120
Nd 3.5371 -1.6978 7.6410
Nd -0.7797 -7.5946 0.5087
Nd 3.1330 -2.9734 -3.3744
Nd 7.2769 -6.1619 -6.5014
Nd 0.3219 -4.9311 2.3714
Nd 5.8095 -4.5814 -1.9505
Nd 8.0172 -4.1538 0.8448
Nd 10.1280 2.8859 -3.0137
Nd 4.9215 -6.4042 1.3318
Nd 1.9155 -10.7233 7.3824
Nd 2.4656 -4.3303 5.1845
Nd 4.4592 -8.1840 6.2894
Nd 10.4922 -2.9286 -1.2317
Nd 0.6860 -10.7456 4.1534
Nd 5.3293 -4.9728 7.2218
H 4.8066 2.1968 -4.1322
H 2.3366 -9.7106 3.0010
H 0.6004 -6.1267 4.7020
H 6.5002 -8.0193 1.4826
H 9.0779 -4.2759 2.8407
H 8.4775 1.8508 -1.8613
H 2.6610 -8.5972 7.6007
H 5.5813 -1.2848 3.9941
H 3.1721 -4.1044 -5.7531
H 2.2349 0.1745 6.3229
H 7.4859 -3.9448 -6.0960
H 0.0000 0.0000 0.0000
H 4.3138 0.1596 -0.3429
H 5.4070 -3.9299 0.5698
H 7.0415 2.3714 2.1907
H 3.3281 -3.9149 7.2356
H 5.2327 -6.5749 -2.8544
H 8.1530 0.7375 -6.4610
H 1.7361 -3.5839 -1.7010
H -1.6345 -6.3012 -1.6209
CELL_PARAMETERS angstrom
-3.2690 -12.6024 -3.2418
9.6132 4.3937 -8.2643
4.4698 0.3490 12.6458
! * E_tot: -381.945 eV per cell